Entry 1:
Here is crystalline Hg2AsF at its relaxed geometry from the Alexandria database. Energies are from PBE-GGA.

Unit cell a=5.606 b=5.606 c=7.825 alpha=69.01 beta=69.01 gamma=90.00
Positions (direct):
Hg1 0.120 0.625 0.250
Hg2 0.375 0.370 0.750
Hg3 0.875 0.880 0.750
Hg4 0.630 0.125 0.250
As1 0.750 0.250 0.500
As2 0.000 0.000 0.000
F1 0.250 0.750 0.500
F2 0.500 0.500 0.000

## Properties
* density: 7.754 g/cm3
* formation energy (no corrections): -0.46 eV per atom
* density of states at the Fermi level: 0.2 states/eV/cell
* DFT total energy: -17.9 eV/cell
* space-group type: I-42d, No. 122
* magnetic moment: 0.00 μB/f.u.

=====

Entry 2:
Here is crystalline HgAsF3 at its relaxed geometry from the Alexandria database. Energies are from PBE-GGA.

Unit cell a=4.310 b=4.310 c=4.310 alpha=90.00 beta=90.00 gamma=90.00
Positions (direct):
Hg1 0.500 0.500 0.500
F1 0.000 0.500 0.000
F2 0.500 0.000 0.000
F3 0.000 0.000 0.500
As1 0.000 0.000 0.000

## Properties
* density: 6.894 g/cm3
* formation energy (no corrections): -1.31 eV per atom
* density of states at the Fermi level: 0.0 states/eV/cell
* DFT total energy: -17.1 eV/cell
* space-group type: Pm-3m, No. 221
* magnetic moment: 0.00 μB/f.u.

=====

Entry 3:
Here is crystalline HgAs2F6 at its relaxed geometry from the Alexandria database. Energies are from PBE-GGA.

Unit cell a=8.090 b=8.028 c=8.028 alpha=69.89 beta=59.77 gamma=59.77
Positions (direct):
F1 0.787 0.042 0.458
F2 0.995 0.315 0.435
F3 0.505 0.565 0.685
F4 0.005 0.685 0.565
F5 0.713 0.542 0.958
F6 0.755 0.935 0.815
F7 0.245 0.065 0.185
F8 0.213 0.958 0.542
F9 0.495 0.435 0.315
F10 0.745 0.185 0.065
F11 0.255 0.815 0.935
F12 0.287 0.458 0.042
As1 0.740 0.851 0.649
As2 0.240 0.649 0.851
As3 0.760 0.351 0.149
As4 0.260 0.149 0.351
Hg1 0.250 0.250 0.750
Hg2 0.750 0.750 0.250

## Properties
* density: 3.992 g/cm3
* formation energy (no corrections): -1.87 eV per atom
* density of states at the Fermi level: 0.0 states/eV/cell
* DFT total energy: -75.3 eV/cell
* space-group type: Ibam, No. 72
* magnetic moment: 0.00 μB/f.u.

=====

Entry 4:
Here is crystalline Hg2AsF at its relaxed geometry from the Alexandria database. Energies are from PBE-GGA.

Unit cell a=4.767 b=4.767 c=4.767 alpha=60.00 beta=60.00 gamma=60.00
Positions (direct):
F1 0.000 0.000 0.000
As1 0.500 0.500 0.500
Hg1 0.750 0.750 0.750
Hg2 0.250 0.250 0.250

## Properties
* density: 10.734 g/cm3
* formation energy (no corrections): -0.29 eV per atom
* density of states at the Fermi level: 1.0 states/eV/cell
* DFT total energy: -8.3 eV/cell
* space-group type: Fm-3m, No. 225
* magnetic moment: 0.00 μB/f.u.